The following is a PBE calculation of crystalline ReS2F at its relaxed geometry, from Alexandria via LeMat-Bulk.

Computed properties:
calculated total energy: -6.42 eV per atom
calculated density: 6.92 Mg/m³

Lattice parameters (Å, degrees): 5.4420 5.2839 8.9913 90.00 90.00 90.00
Closest atoms and distances in Å follow each position.
Space group Pnna (No. 52)
One atom of each set of equivalent atoms:
Re: 0.2500 0.0000 0.0566 [4 per cell]  4 S 2.23-2.35, 2 F 2.31
S: 0.0808 0.2244 0.6002 [8 per cell]  2 Re 2.23-2.35
F: 0.1143 0.2500 0.2500 [4 per cell]  2 Re 2.31


The following is a PBE calculation of crystalline ReS3F at its relaxed geometry, from Alexandria via LeMat-Bulk.

Computed properties:
calculated total energy: -3.85 eV per atom
calculated density: 6.71 Mg/m³

Lattice parameters (Å, degrees): 4.2092 4.2092 4.2092 90.00 90.00 90.00
Closest atoms and distances in Å follow each position.
Space group Pm-3m (No. 221)
One atom of each set of equivalent atoms:
Re: 0.0000 0.0000 0.0000 [1 per cell]  12 S 2.98
S: 0.0000 0.5000 0.5000 [3 per cell]  2 F 2.10
F: 0.5000 0.5000 0.5000 [1 per cell]  6 S 2.10


The following is a PBE calculation of crystalline ReSF at its relaxed geometry, from Alexandria via LeMat-Bulk.

Computed properties:
calculated total energy: -7.05 eV per atom
calculated density: 7.73 Mg/m³

Lattice parameters (Å, degrees): 3.1225 5.2498 6.5391 94.96 90.50 107.25
Closest atoms and distances in Å follow each position.
Space group P-1 (No. 2)
One atom of each set of equivalent atoms:
Re: 0.1582 0.3120 0.0623 [2 per cell]  1 F 1.93
S: 0.3979 0.7919 0.1918 [2 per cell]  3 Re 2.30-2.47
F: 0.1313 0.2513 0.3503 [2 per cell]  1 Re 1.93


The following is a PBE calculation of crystalline Re2SF2 at its relaxed geometry, from Alexandria via LeMat-Bulk.

Computed properties:
calculated total energy: -7.16 eV per atom
calculated density: 9.83 Mg/m³

Lattice parameters (Å, degrees): 6.0200 6.0200 4.1231 90.00 90.00 90.00
Closest atoms and distances in Å follow each position.
Space group P4/mbm (No. 127)
One atom of each set of equivalent atoms:
Re: 0.1416 0.3584 0.0000 [4 per cell]  2 F 2.07
S: 0.0000 0.0000 0.0000 [2 per cell]  4 Re 2.32
F: 0.1640 0.3360 0.5000 [4 per cell]  2 Re 2.07